1.
First-principles (PBE-GGA) data for a geometry-optimized Pm3AsI7 structure, as listed in Alexandria.

Cell lengths 7.417, 9.068, 9.068 Å; angles 120.00, 90.00, 90.00 degrees
Fractional coordinates of all 11 atoms:
As: 0.590 0.333 0.667
Pm: 0.771 0.496 0.991
Pm: 0.771 0.496 0.504
Pm: 0.771 0.009 0.504
I: 0.020 0.172 0.828
I: 0.020 0.655 0.828
I: 0.020 0.172 0.345
I: 0.542 0.829 0.658
I: 0.025 0.667 0.333
I: 0.542 0.342 0.171
I: 0.542 0.829 0.171

Properties
As for the final energy: -3.929 eV/atom. Its space-group type is P3m1 (156).

2.
First-principles (PBE-GGA) data for a geometry-optimized Pm3AsI3 structure, as listed in Alexandria.

Cell lengths 10.716, 10.716, 10.716 Å; angles 109.47, 109.47, 109.47 degrees
Fractional coordinates of all 28 atoms:
As: 0.500 0.250 0.500
As: 0.000 0.000 0.250
As: 0.750 0.250 0.250
As: 0.750 0.500 0.000
I: 0.007 0.250 0.993
I: 0.243 0.993 0.985
I: 0.243 0.250 0.757
I: 0.493 0.985 0.743
I: 0.015 0.507 0.757
I: 0.493 0.507 0.250
I: 0.257 0.515 0.507
I: 0.257 0.743 0.250
I: 0.485 0.743 0.993
I: 0.750 0.993 0.507
I: 0.007 0.757 0.515
I: 0.750 0.757 0.743
Pm: 0.518 0.036 0.268
Pm: 0.982 0.750 0.018
Pm: 0.250 0.232 0.268
Pm: 0.732 0.268 0.750
Pm: 0.768 0.018 0.036
Pm: 0.964 0.482 0.232
Pm: 0.732 0.464 0.482
Pm: 0.518 0.482 0.750
Pm: 0.768 0.750 0.232
Pm: 0.250 0.018 0.482
Pm: 0.982 0.232 0.464
Pm: 0.536 0.268 0.018

Properties
As for the final energy: -4.713 eV/atom. Its space-group type is I4_132 (214).